# RbHfSiOs2 (meta-GGA SCAN, PBEsol geometry)
data_RbHfSiOs2
_cell_length_a 4.663
_cell_length_b 4.663
_cell_length_c 4.724
_cell_angle_alpha 90.00
_cell_angle_beta 90.00
_cell_angle_gamma 90.00
_space_group_name_H-M_alt 'P 4/m m m'
_space_group_IT_number 123
_space_group_name_Hall '-P 4 2'
loop_
_atom_site_label
_atom_site_type_symbol
_atom_site_fract_x
_atom_site_fract_y
_atom_site_fract_z
Rb1 Rb 0.000 0.000 0.000
Hf1 Hf 0.500 0.500 0.500
Si1 Si 0.000 0.000 0.500
Os1 Os 0.000 0.500 0.000
# energy relative to the elements, uncorrected	317.90	kJ/mol of atoms

=====

# FePbBr2 (meta-GGA SCAN, PBEsol geometry)
data_FePbBr2
_cell_length_a 6.943
_cell_length_b 9.130
_cell_length_c 3.475
_cell_angle_alpha 90.00
_cell_angle_beta 117.21
_cell_angle_gamma 90.00
_space_group_name_H-M_alt 'C 1 2/m 1'
_space_group_IT_number 12
loop_
_space_group_symop_operation_xyz
'x,y,z'
'-x,-y,-z'
'-x,y,-z'
'x,-y,z'
'x+1/2,y+1/2,z'
'-x+1/2,-y+1/2,-z'
'-x+1/2,y+1/2,-z'
'x+1/2,-y+1/2,z'
loop_
_atom_site_label
_atom_site_type_symbol
_atom_site_fract_x
_atom_site_fract_y
_atom_site_fract_z
Fe1 Fe 0.000 0.000 0.000
Pb1 Pb 0.000 0.500 0.000
Br1 Br 0.250 0.250 0.500
# energy relative to the elements, uncorrected	11.95	kJ/mol of atoms
# ΔE to the lowest computed polymorph	356	meV/atom

=====

# AcBiAu2 (meta-GGA SCAN, PBEsol geometry)
data_AcBiAu2
_cell_length_a 7.393
_cell_length_b 7.393
_cell_length_c 7.393
_cell_angle_alpha 90.00
_cell_angle_beta 90.00
_cell_angle_gamma 90.00
_space_group_name_H-M_alt 'F m -3 m'
_space_group_IT_number 225
_space_group_name_Hall '-F 4 2 3'
loop_
_atom_site_label
_atom_site_type_symbol
_atom_site_fract_x
_atom_site_fract_y
_atom_site_fract_z
Ac1 Ac 0.000 0.000 0.000
Bi1 Bi 0.000 0.000 0.500
Au1 Au 0.250 0.250 0.250
# calculated formation energy	-0.7827	eV/atom

=====

# MgCr3Ag (meta-GGA SCAN, PBEsol geometry)
data_MgCr3Ag
_cell_length_a 4.925
_cell_length_b 4.925
_cell_length_c 4.925
_cell_angle_alpha 90.00
_cell_angle_beta 90.00
_cell_angle_gamma 90.00
_space_group_name_H-M_alt 'P m -3 m'
_space_group_IT_number 221
_space_group_name_Hall '-P 4 2 3'
loop_
_atom_site_label
_atom_site_type_symbol
_atom_site_fract_x
_atom_site_fract_y
_atom_site_fract_z
Mg1 Mg 0.000 0.000 0.000
Cr1 Cr 0.000 0.500 0.500
Ag1 Ag 0.500 0.500 0.500
# calculated formation energy	1.0716	eV/atom

=====

The evaluated N(E_F) for the records listed, in turn: 0.88, 0.40, 0.36, 0.63 states/eV per atom.
The evaluated final energy for the records listed, in turn: -44.1428, -33.0835, -77.6248, -17.2273 eV/atom.